# SrBeW2 PBE optimized geometry
# Energy of formation   1.313 eV/atom
# Crystal system   tetragonal
data_SrBeW2
_chemical_formula_sum 'Sr2 Be2 W4'
_symmetry_space_group_name_H-M 'I 4/m m m'
_symmetry_Int_Tables_number 139
_symmetry_space_group_name_Hall '-I 4 2'
_cell_length_a 3.9224
_cell_length_b 3.9224
_cell_length_c 9.8197
_cell_angle_alpha 90.00
_cell_angle_beta 90.00
_cell_angle_gamma 90.00
loop_
_atom_site_label
_atom_site_type_symbol
_atom_site_fract_x
_atom_site_fract_y
_atom_site_fract_z
Sr1 Sr 0.0000 0.0000 0.0000
Be1 Be 0.0000 0.0000 0.5000
W1 W 0.0000 0.5000 0.2500